BaZnRh2 | PBEsol | relaxed

Cell: 6.022 6.022 6.022 Å, 42.47 42.47 42.47°
Fractional positions:
1 Ba 0.000 0.000 0.000
2 Zn 0.814 0.814 0.814
3 Rh 0.186 0.186 0.186
4 Rh 0.507 0.507 0.507

* calculated volume: 90.2 Å³/cell
* DOS(E_F): 5.2 states/eV/f.u.
* ρ: 7.52 g/cm³
* magnetization: 0.19 μB/cell
* ΔH_f (0 K): -4.55 kcal/mol of atoms
* space-group type: R3m